(1)
Below is an optimized crystal structure of GdAuSe2, with properties calculated at the PBE-GGA level.

**Final energy**: -19.49 eV/f.u.

a b c (Å): 6.2890 7.2773 8.0935
angles (deg): 90.00 90.01 90.00
With the nearest neighbours (Å) after each atom.
Fractional positions:
Au1 0.9945 0.2419 0.0021  3 Se 2.52-2.69
Au2 0.0055 0.7419 0.4979  3 Se 2.52-2.69
Au3 0.9945 0.2581 0.5021  3 Se 2.52-2.69
Au4 0.0055 0.7581 0.9979  3 Se 2.52-2.69
Gd1 0.3252 0.4649 0.2483  6 Se 2.97-3.04, 2 Au 3.29-3.31
Gd2 0.6748 0.9649 0.2517  6 Se 2.97-3.04, 2 Au 3.29-3.31
Gd3 0.3252 0.0351 0.7483  6 Se 2.97-3.04, 2 Au 3.29-3.31
Gd4 0.6748 0.5351 0.7517  6 Se 2.97-3.04, 2 Au 3.29-3.31
Se1 0.4328 0.7520 0.0001  1 Au 2.69, 4 Gd 2.97-2.98
Se2 0.8665 0.5822 0.2441  2 Au 2.52-2.53
Se3 0.1335 0.0822 0.2559  2 Au 2.52-2.53
Se4 0.5672 0.2520 0.4999  1 Au 2.69, 4 Gd 2.97-2.98
Se5 0.4328 0.7480 0.5001  1 Au 2.69, 4 Gd 2.97-2.98
Se6 0.8665 0.9178 0.7441  2 Au 2.52-2.53
Se7 0.1335 0.4178 0.7559  2 Au 2.52-2.53
Se8 0.5672 0.2480 0.9999  1 Au 2.69, 4 Gd 2.97-2.98

(2)
Below is an optimized crystal structure of Gd3Dy3Te2Os, with properties calculated at the PBE-GGA level.

**Final energy**: -51.89 eV/f.u.
**Excess energy over the best structure of this formula in the dataset**: 0.000 eV per atom

a b c (Å): 8.3443 8.3443 4.0614
angles (deg): 90.00 90.00 120.00
With the nearest neighbours (Å) after each atom.
Fractional positions:
Dy1 0.7617 0.0000 0.0000  2 Os 2.84
Dy2 0.2383 0.2383 0.0000  2 Os 2.84
Dy3 0.0000 0.7617 0.0000  2 Os 2.84
Gd1 0.3937 0.0000 0.5000  4 Te 3.27, 1 Os 3.28, 4 Dy 3.51
Gd2 0.0000 0.3937 0.5000  4 Te 3.27, 1 Os 3.28, 4 Dy 3.51
Gd3 0.6063 0.6063 0.5000  4 Te 3.27, 1 Os 3.28, 4 Dy 3.51
Os1 0.0000 0.0000 0.5000  6 Dy 2.84
Te1 0.6667 0.3333 0.0000  3 Dy 3.25, 6 Gd 3.27
Te2 0.3333 0.6667 0.0000  3 Dy 3.25, 6 Gd 3.27

(3)
Below is an optimized crystal structure of HfTaNO, with properties calculated at the PBE-GGA level.

**Final energy**: -41.34 eV/f.u.
**Excess energy over the best structure of this formula in the dataset**: 0.038 eV per atom

a b c (Å): 3.1609 5.7759 5.8913
angles (deg): 90.00 90.00 90.00
With the nearest neighbours (Å) after each atom.
Fractional positions:
Hf1 0.5000 0.9690 0.1153  2 O 2.14-2.15, 2 N 2.17
Hf2 0.5000 0.4690 0.8847  2 O 2.14-2.15, 2 N 2.17
N1 0.0000 0.9009 0.3586  2 Ta 1.98-2.06, 2 Hf 2.17
N2 0.0000 0.4009 0.6414  2 Ta 1.98-2.06, 2 Hf 2.17
O1 0.5000 0.3243 0.2210  2 Hf 2.14-2.15, 2 Ta 2.18
O2 0.5000 0.8243 0.7790  2 Hf 2.14-2.15, 2 Ta 2.18
Ta1 0.0000 0.5597 0.3289  2 N 1.98-2.06, 2 O 2.18
Ta2 0.0000 0.0597 0.6711  2 N 1.98-2.06, 2 O 2.18